Compound: ZnNi2
Source: Alexandria via LeMat-Bulk
Functional: PBE-GGA
Structure: optimized geometry

Summary:
VASP energy, eV/f.u.: -13.13
SG: P-62m

```
data_ZnNi2
_symmetry_space_group_name_H-M 'P 1'
_symmetry_Int_Tables_number 1
_cell_length_a 6.9479
_cell_length_b 6.9479
_cell_length_c 2.5203
_cell_angle_alpha 90.00
_cell_angle_beta 90.00
_cell_angle_gamma 120.00
loop_
_symmetry_equiv_pos_as_xyz
'x,y,z'
loop_
_atom_site_label
_atom_site_fract_x
_atom_site_fract_y
_atom_site_fract_z
Ni1 0.0000 0.3056 0.0000
Ni2 0.0000 0.6394 0.5000
Ni3 0.3056 0.0000 0.0000
Ni4 0.6944 0.6944 0.0000
Ni5 0.6394 0.0000 0.5000
Ni6 0.3606 0.3606 0.5000
Zn1 0.0000 0.0000 0.5000
Zn2 0.3333 0.6667 0.0000
Zn3 0.6667 0.3333 0.0000
```